The following is a DFT calculation (GGA-PBE) of Ac3Al3Ga after structural relaxation.

Values from the calculation:
Density of states at the Fermi level, states/eV per cell: 10.92
ΔE_f, eV per atom: -0.370

Geometry as POSCAR:
```
Ac3Al3Ga
1.0
4.635 0.000 0.698
2.277 6.030 0.617
0.151 0.184 14.733
Ac Ga Al
6 2 6
Cartesian
5.251 4.623 12.345
1.812 1.590 3.704
4.440 4.238 1.995
2.624 1.975 14.054
3.292 2.185 9.620
3.772 4.028 6.429
3.269 5.720 9.771
3.795 0.494 6.278
5.749 4.852 9.040
6.418 5.100 4.601
1.315 1.362 7.009
0.646 1.114 11.448
4.464 0.693 1.833
2.599 5.520 14.216
```


The following is a DFT calculation (GGA-PBE) of CaTh4P6 after structural relaxation.

Values from the calculation:
Density of states at the Fermi level, states/eV per cell: 2.72
ΔE_f, eV per atom: -1.238

Geometry as POSCAR:
```
CaTh4P6
1.0
-6.435 3.694 -3.131
2.244 -2.260 -7.397
-4.248 -6.790 0.835
Th Ca P
8 2 12
Cartesian
-3.133 -0.637 -1.920
-4.205 -0.622 -7.687
-4.234 -4.734 -2.005
-0.751 -1.402 -5.348
-1.852 -5.499 -5.433
-5.306 -4.719 -7.772
-7.687 -3.954 -4.344
-6.586 0.143 -4.259
-4.219 -2.678 -4.846
0.000 0.000 0.000
-2.067 -3.240 -3.266
-8.343 -4.507 -7.101
-3.858 -7.142 -7.165
-4.897 -5.320 -4.786
-8.714 -1.340 -2.990
-3.542 -0.036 -4.906
-2.725 -3.066 -7.095
0.275 -4.016 -6.702
-5.713 -2.289 -2.597
-4.581 1.786 -2.527
-6.371 -2.116 -6.426
-0.096 -0.849 -2.591
```


The following is a DFT calculation (GGA-PBE) of Ga2CuNi after structural relaxation.

Values from the calculation:
Density of states at the Fermi level, states/eV per cell: 5.36
ΔE_f, eV per atom: -0.224

Geometry as POSCAR:
```
Ga2CuNi
1.0
-3.539 -1.219 0.762
0.078 -2.877 -4.238
4.174 -8.474 5.828
Ga Cu Ni
8 4 4
Cartesian
0.401 -3.403 1.205
0.729 -8.655 3.903
-0.346 -6.551 2.274
-0.017 -3.915 -1.551
1.391 -11.439 2.527
1.059 -6.018 0.078
0.311 -9.166 1.147
-0.679 -1.131 -0.175
-2.258 -2.983 -0.895
1.565 -5.375 3.459
2.970 -9.586 3.247
-0.853 -7.194 -1.107
-1.277 -5.046 0.358
-1.829 -5.285 -2.586
2.542 -7.284 4.938
1.990 -7.523 1.994
```


The following is a DFT calculation (GGA-PBE) of CaAc2Si3Au4 after structural relaxation.

Values from the calculation:
Formation energy from raw total energies, eV/atom: -0.611
Density of states at the Fermi level, states/eV per cell: 2.67

Geometry as POSCAR:
```
CaAc2Si3Au4
1.0
4.505 0.000 0.000
0.000 4.505 0.000
0.000 0.000 11.255
Au Ac Si Ca
4 2 3 1
Cartesian
0.000 0.000 0.000
2.252 0.000 7.381
0.000 2.252 3.873
2.252 2.252 0.000
0.000 2.252 8.727
2.252 0.000 2.527
0.000 2.252 1.383
0.000 0.000 5.627
2.252 0.000 9.872
2.252 2.252 5.627
```


The following is a DFT calculation (GGA-PBE) of La3Te after structural relaxation.

Values from the calculation:
Formation energy from raw total energies, eV/atom: -0.614
E above lowest polymorph, meV per atom: 148
Density of states at the Fermi level, states/eV per cell: 3.93

Geometry as POSCAR:
```
La3Te
1.0
-0.937 -2.680 2.837
3.503 -0.272 -1.939
4.508 6.135 7.284
Te La
1 3
Cartesian
3.925 2.724 6.708
1.670 -0.343 3.066
2.415 3.287 3.902
4.347 5.916 7.024
```


The following is a DFT calculation (GGA-PBE) of SmTm2Th6 after structural relaxation.

Values from the calculation:
Density of states at the Fermi level, states/eV per cell: 10.87
ΔE_f, eV per atom: 0.310

Geometry as POSCAR:
```
SmTm2Th6
1.0
0.584 -8.954 -1.967
-0.904 1.444 -6.840
5.461 -5.844 1.677
Th Tm Sm
6 2 1
Cartesian
1.494 -4.263 -4.729
0.631 -2.226 -2.290
3.647 -9.091 -2.401
4.510 -11.129 -4.841
4.982 -11.882 -1.271
0.159 -1.472 -5.860
2.011 -7.775 -5.539
3.130 -5.580 -1.591
0.000 0.000 0.000
```